The following is a GGA-PBE calculation of crystalline Li3AlPb at its relaxed geometry, from Alexandria.

a b c (Å): 5.1536 5.1536 5.1536
angles (deg): 90.00 90.00 90.00
Closest atoms and distances in Å follow each position.
Element x y z (fractional)
Pb (0.0000, 0.0000, 0.0000)  6 Li 2.58
Al (0.5000, 0.5000, 0.5000)  12 Li 3.64
Li (0.0000, 0.5000, 0.0000)  2 Pb 2.58
Li (0.0000, 0.0000, 0.5000)  2 Pb 2.58
Li (0.5000, 0.0000, 0.0000)  2 Pb 2.58

Summary:
The density of states at the Fermi level is 1.58 states/eV/f.u. The formation enthalpy at 0 K comes out at 304 meV per atom. Its space-group type is No. 221. As for the relative energy among the computed polymorphs: 0.0728 eV/atom.